# MnAlCu | the Alexandria database | PBE-GGA | optimized geometry
# Energy of formation from the pure elements in eV/f.u.: -0.128
# Total magnetization in μB/cell: 6.04
# Fermi-level density of states in states/eV/cell: 4.5
# Total energy in eV/atom: -5.71
data_MnAlCu
_space_group_name_H-M_alt 'I m m 2'
_space_group_IT_number 44
_cell_length_a 2.700
_cell_length_b 3.700
_cell_length_c 7.967
_cell_angle_alpha 90.00
_cell_angle_beta 90.00
_cell_angle_gamma 90.00
loop_
_space_group_symop_operation_xyz
'x,y,z'
'-x,-y,z'
'-x,y,z'
'x,-y,z'
'x+1/2,y+1/2,z+1/2'
'-x+1/2,-y+1/2,z+1/2'
'-x+1/2,y+1/2,z+1/2'
'x+1/2,-y+1/2,z+1/2'
loop_
_atom_site_label
_atom_site_type_symbol
_atom_site_fract_x
_atom_site_fract_y
_atom_site_fract_z
_atom_site_occupancy
Mn1 Mn 0.000 0.000 0.000 1
Al1 Al 0.000 0.000 0.664 1
Cu1 Cu 0.000 0.000 0.330 1

# CdCo2Si | the Alexandria database | PBE-GGA | optimized geometry
# Raw formation energy in meV/atom: -210
# Polymorph energy (0 for the lowest one) in eV/f.u.: 0.00
# Total magnetization in μB/cell: 0.00
# Fermi-level density of states in states/eV/cell: 2.1
# Total energy in eV/atom: -5.35
data_CdCo2Si
_space_group_name_H-M_alt 'P 4/m m m'
_space_group_IT_number 123
_space_group_name_Hall '-P 4 2'
_cell_length_a 2.776
_cell_length_b 2.776
_cell_length_c 6.641
_cell_angle_alpha 90.00
_cell_angle_beta 90.00
_cell_angle_gamma 90.00
loop_
_atom_site_label
_atom_site_type_symbol
_atom_site_fract_x
_atom_site_fract_y
_atom_site_fract_z
_atom_site_occupancy
Cd1 Cd 0.000 0.000 0.000 1
Co1 Co 0.500 0.500 0.303 1
Si1 Si 0.000 0.000 0.500 1

# Ce2Nd2In5 | the Alexandria database | PBE-GGA | optimized geometry
# Energy of formation from the pure elements in eV/f.u.: -2.446
# Total magnetization in μB/cell: 6.74
# Fermi-level density of states in states/eV/cell: 68.3
# Total energy in eV/atom: -4.17
data_Ce2Nd2In5
_space_group_name_H-M_alt 'C 1 2/m 1'
_space_group_IT_number 12
_cell_length_a 15.968
_cell_length_b 6.952
_cell_length_c 10.461
_cell_angle_alpha 90.00
_cell_angle_beta 110.83
_cell_angle_gamma 90.00
loop_
_space_group_symop_operation_xyz
'x,y,z'
'-x,-y,-z'
'-x,y,-z'
'x,-y,z'
'x+1/2,y+1/2,z'
'-x+1/2,-y+1/2,-z'
'-x+1/2,y+1/2,-z'
'x+1/2,-y+1/2,z'
loop_
_atom_site_label
_atom_site_type_symbol
_atom_site_fract_x
_atom_site_fract_y
_atom_site_fract_z
_atom_site_occupancy
Ce1 Ce 0.000 0.000 0.000 1
Ce2 Ce 0.000 0.500 0.500 1
Ce3 Ce 0.217 0.000 0.210 1
Nd1 Nd 0.110 0.000 0.609 1
Nd2 Nd 0.160 0.500 0.164 1
In1 In 0.051 0.216 0.296 1
In2 In 0.148 0.236 0.894 1
In3 In 0.250 0.250 0.500 1

# AcAl2Pd | the Alexandria database | PBE-GGA | optimized geometry
# Energy of formation from the pure elements in eV/f.u.: -2.754
# Polymorph energy (0 for the lowest one) in eV/f.u.: 0.00
# Total magnetization in μB/cell: 0.00
# Fermi-level density of states in states/eV/cell: 9.6
# Total energy in eV/atom: -4.89
data_AcAl2Pd
_space_group_name_H-M_alt 'C m c m'
_space_group_IT_number 63
_space_group_name_Hall '-C 2c 2'
_cell_length_a 4.275
_cell_length_b 11.739
_cell_length_c 7.320
_cell_angle_alpha 90.00
_cell_angle_beta 90.00
_cell_angle_gamma 90.00
loop_
_atom_site_label
_atom_site_type_symbol
_atom_site_fract_x
_atom_site_fract_y
_atom_site_fract_z
_atom_site_occupancy
Ac1 Ac 0.000 0.052 0.250 1
Al1 Al 0.000 0.327 0.060 1
Pd1 Pd 0.000 0.222 0.750 1

# LaMnNb2Ir | the Alexandria database | PBE-GGA | optimized geometry
# Energy of formation from the pure elements in eV/f.u.: 2.589
# Total magnetization in μB/cell: 3.38
# Fermi-level density of states in states/eV/cell: 5.4
# Total energy in eV/atom: -8.10
data_LaMnNb2Ir
_space_group_name_H-M_alt 'P 4/m m m'
_space_group_IT_number 123
_space_group_name_Hall '-P 4 2'
_cell_length_a 4.942
_cell_length_b 4.942
_cell_length_c 4.926
_cell_angle_alpha 90.00
_cell_angle_beta 90.00
_cell_angle_gamma 90.00
loop_
_atom_site_label
_atom_site_type_symbol
_atom_site_fract_x
_atom_site_fract_y
_atom_site_fract_z
_atom_site_occupancy
La1 La 0.000 0.000 0.000 1
Mn1 Mn 0.500 0.500 0.000 1
Nb1 Nb 0.000 0.500 0.500 1
Ir1 Ir 0.500 0.500 0.500 1

# KSe | the Alexandria database | PBE-GGA | optimized geometry
# Raw formation energy in meV/atom: -901
# Total magnetization in μB/cell: 0.00
# Total energy in eV/atom: -3.19
data_KSe
_space_group_name_H-M_alt 'C 1 2/m 1'
_space_group_IT_number 12
_cell_length_a 11.993
_cell_length_b 4.648
_cell_length_c 5.031
_cell_angle_alpha 90.00
_cell_angle_beta 105.25
_cell_angle_gamma 90.00
loop_
_space_group_symop_operation_xyz
'x,y,z'
'-x,-y,-z'
'-x,y,-z'
'x,-y,z'
'x+1/2,y+1/2,z'
'-x+1/2,-y+1/2,-z'
'-x+1/2,y+1/2,-z'
'x+1/2,-y+1/2,z'
loop_
_atom_site_label
_atom_site_type_symbol
_atom_site_fract_x
_atom_site_fract_y
_atom_site_fract_z
_atom_site_occupancy
K1 K 0.124 0.000 0.254 1
Se1 Se 0.087 0.500 0.691 1

# TmHf3C | the Alexandria database | PBE-GGA | optimized geometry
# Energy of formation from the pure elements in eV/f.u.: -0.827
# Total magnetization in μB/cell: 0.00
# Fermi-level density of states in states/eV/cell: 7.3
# Total energy in eV/atom: -8.88
data_TmHf3C
_space_group_name_H-M_alt 'P m -3 m'
_space_group_IT_number 221
_space_group_name_Hall '-P 4 2 3'
_cell_length_a 4.636
_cell_length_b 4.636
_cell_length_c 4.636
_cell_angle_alpha 90.00
_cell_angle_beta 90.00
_cell_angle_gamma 90.00
loop_
_atom_site_label
_atom_site_type_symbol
_atom_site_fract_x
_atom_site_fract_y
_atom_site_fract_z
_atom_site_occupancy
Tm1 Tm 0.000 0.000 0.000 1
Hf1 Hf 0.000 0.500 0.500 1
C1 C 0.500 0.500 0.500 1

# Hf6ScOs5 | the Alexandria database | PBE-GGA | optimized geometry
# Energy of formation from the pure elements in eV/f.u.: -6.391
# Total magnetization in μB/cell: 0.00
# Fermi-level density of states in states/eV/cell: 15.0
# Total energy in eV/atom: -10.72
data_Hf6ScOs5
_space_group_name_H-M_alt 'C m m m'
_space_group_IT_number 65
_space_group_name_Hall '-C 2 2'
_cell_length_a 4.645
_cell_length_b 13.950
_cell_length_c 6.595
_cell_angle_alpha 90.00
_cell_angle_beta 90.00
_cell_angle_gamma 90.00
loop_
_atom_site_label
_atom_site_type_symbol
_atom_site_fract_x
_atom_site_fract_y
_atom_site_fract_z
_atom_site_occupancy
Hf1 Hf 0.000 0.000 0.240 1
Hf2 Hf 0.000 0.329 0.246 1
Sc1 Sc 0.000 0.500 0.500 1
Os1 Os 0.000 0.162 0.500 1
Os2 Os 0.000 0.168 0.000 1
Os3 Os 0.000 0.500 0.000 1